Record 1
# CePrCoAg PBE-GGA optimized geometry
data_CePrCoAg
_space_group_name_H-M_alt 'F -4 3 m'
_space_group_IT_number 216
_space_group_name_Hall 'F -4 2 3'
_cell_length_a 7.209
_cell_length_b 7.209
_cell_length_c 7.209
_cell_angle_alpha 90.00
_cell_angle_beta 90.00
_cell_angle_gamma 90.00
loop_
_atom_site_label
_atom_site_fract_x
_atom_site_fract_y
_atom_site_fract_z
Ce1 0.000 0.000 0.000
Pr1 0.000 0.000 0.500
Co1 0.250 0.250 0.250
Ag1 0.250 0.250 0.750
# calculated density: 7.9 g/cm3
# N(E_F): 31.7 states/eV per cell
# ΔH_f (0 K): 0.008 eV per atom
# calculated volume: 93.7 Å³/f.u.

---

Record 2
# Pm2DyTm7 PBE-GGA optimized geometry
data_Pm2DyTm7
_space_group_name_H-M_alt 'P -1'
_space_group_IT_number 2
_space_group_name_Hall '-P 1'
_cell_length_a 5.428
_cell_length_b 8.326
_cell_length_c 8.712
_cell_angle_alpha 118.13
_cell_angle_beta 108.12
_cell_angle_gamma 90.07
loop_
_atom_site_label
_atom_site_fract_x
_atom_site_fract_y
_atom_site_fract_z
Pm1 0.228 0.196 0.456
Dy1 0.000 0.000 0.000
Tm1 0.133 0.674 0.266
Tm2 0.355 0.655 0.711
Tm3 0.388 0.062 0.776
Tm4 0.500 0.500 0.000
# calculated density: 8.4 g/cm3
# polymorph energy (0 for the lowest one): 0.085 eV/atom
# N(E_F): 14.3 states/eV per cell
# ΔH_f (0 K): 0.246 eV per atom
# calculated volume: 324.8 Å³/f.u.

---

Record 3
# NaOs3N6 PBE-GGA optimized geometry
data_NaOs3N6
_space_group_name_H-M_alt 'P 1 21/c 1'
_space_group_IT_number 14
_space_group_name_Hall '-P 2ybc'
_cell_length_a 5.528
_cell_length_b 5.365
_cell_length_c 10.370
_cell_angle_alpha 90.00
_cell_angle_beta 116.00
_cell_angle_gamma 90.00
loop_
_atom_site_label
_atom_site_fract_x
_atom_site_fract_y
_atom_site_fract_z
Na1 0.000 0.000 0.000
Os1 0.183 0.004 0.753
Os2 0.500 0.000 0.500
N1 0.166 0.168 0.330
N2 0.300 0.005 0.619
N3 0.344 0.685 0.409
# calculated density: 8.1 g/cm3
# E_form (uncorrected): 41.7 kJ per mole of atoms
# N(E_F): 6.7 states/eV per cell
# calculated volume: 138.2 Å³/f.u.

---

Record 4
# Ni2PtW2 PBE-GGA optimized geometry
data_Ni2PtW2
_space_group_name_H-M_alt 'C m m m'
_space_group_IT_number 65
_space_group_name_Hall '-C 2 2'
_cell_length_a 2.705
_cell_length_b 13.951
_cell_length_c 3.901
_cell_angle_alpha 90.00
_cell_angle_beta 90.00
_cell_angle_gamma 90.00
loop_
_atom_site_label
_atom_site_fract_x
_atom_site_fract_y
_atom_site_fract_z
Ni1 0.000 0.182 0.000
Pt1 0.000 0.000 0.000
W1 0.000 0.394 0.500
# calculated density: 15.3 g/cm3
# polymorph energy (0 for the lowest one): 0.180 eV/atom
# N(E_F): 8.0 states/eV per cell
# ΔH_f (0 K): 0.223 eV per atom
# calculated volume: 73.6 Å³/f.u.

---

Record 5
# Dy4ErTm8 PBE-GGA optimized geometry
data_Dy4ErTm8
_space_group_name_H-M_alt 'R -3 m'
_space_group_IT_number 166
_space_group_name_Hall '-R 3 2"'
_cell_length_a 7.1964
_cell_length_b 7.1964
_cell_length_c 26.8415
_cell_angle_alpha 90.00
_cell_angle_beta 90.00
_cell_angle_gamma 120.00
loop_
_atom_site_label
_atom_site_fract_x
_atom_site_fract_y
_atom_site_fract_z
Dy1 0.0000 0.0000 0.0000
Dy2 0.0000 0.5000 0.0000
Er1 0.0000 0.0000 0.5000
Tm1 0.0000 0.0000 0.2157
Tm2 0.0363 0.5182 0.7679
# calculated density: 9.0 g/cm3
# N(E_F): 50.6 states/eV per cell
# ΔH_f (0 K): 0.235 eV per atom
# calculated volume: 401.3 Å³/f.u.

---

Record 6
# AlTlCu2 PBE-GGA optimized geometry
data_AlTlCu2
_space_group_name_H-M_alt 'P 1 m 1'
_space_group_IT_number 6
_space_group_name_Hall 'P -2y'
_cell_length_a 3.284
_cell_length_b 4.103
_cell_length_c 5.242
_cell_angle_alpha 90.00
_cell_angle_beta 104.84
_cell_angle_gamma 90.00
loop_
_atom_site_label
_atom_site_fract_x
_atom_site_fract_y
_atom_site_fract_z
Al1 0.000 0.000 0.000
Tl1 0.238 0.500 0.599
Cu1 0.546 0.500 0.121
Cu2 0.677 0.000 0.407
# calculated density: 8.7 g/cm3
# polymorph energy (0 for the lowest one): 0.060 eV/atom
# N(E_F): 1.2 states/eV per cell
# ΔH_f (0 K): 0.165 eV per atom
# calculated volume: 68.3 Å³/f.u.

---

Record 7
# NaAgBiRh PBE-GGA optimized geometry
data_NaAgBiRh
_space_group_name_H-M_alt 'F -4 3 m'
_space_group_IT_number 216
_space_group_name_Hall 'F -4 2 3'
_cell_length_a 6.797
_cell_length_b 6.797
_cell_length_c 6.797
_cell_angle_alpha 90.00
_cell_angle_beta 90.00
_cell_angle_gamma 90.00
loop_
_atom_site_label
_atom_site_fract_x
_atom_site_fract_y
_atom_site_fract_z
Na1 0.000 0.000 0.000
Ag1 0.250 0.250 0.250
Bi1 0.250 0.250 0.750
Rh1 0.000 0.000 0.500
# calculated density: 9.4 g/cm3
# polymorph energy (0 for the lowest one): 0.092 eV/atom
# N(E_F): 9.0 states/eV per cell
# ΔH_f (0 K): 0.004 eV per atom
# calculated volume: 78.5 Å³/f.u.

---

Record 8
# GaHgN2O PBE-GGA optimized geometry
data_GaHgN2O
_space_group_name_H-M_alt 'P 4/m m m'
_space_group_IT_number 123
_space_group_name_Hall '-P 4 2'
_cell_length_a 4.057
_cell_length_b 4.057
_cell_length_c 3.900
_cell_angle_alpha 90.00
_cell_angle_beta 90.00
_cell_angle_gamma 90.00
loop_
_atom_site_label
_atom_site_fract_x
_atom_site_fract_y
_atom_site_fract_z
Ga1 0.000 0.000 0.000
Hg1 0.500 0.500 0.500
N1 0.000 0.500 0.000
O1 0.000 0.000 0.500
# calculated density: 8.1 g/cm3
# E_form (uncorrected): 93.6 kJ per mole of atoms
# N(E_F): 1.2 states/eV per cell
# calculated volume: 64.2 Å³/f.u.

---

Record 9
# HgIr2Cl PBE-GGA optimized geometry
data_HgIr2Cl
_space_group_name_H-M_alt 'F 2 2 2'
_space_group_IT_number 22
_space_group_name_Hall 'F 2 2'
_cell_length_a 6.525
_cell_length_b 6.533
_cell_length_c 6.542
_cell_angle_alpha 90.00
_cell_angle_beta 90.00
_cell_angle_gamma 90.00
loop_
_atom_site_label
_atom_site_fract_x
_atom_site_fract_y
_atom_site_fract_z
Hg1 0.000 0.000 0.000
Ir1 0.000 0.000 0.500
Ir2 0.250 0.250 0.750
Cl1 0.250 0.250 0.250
# calculated density: 14.8 g/cm3
# polymorph energy (0 for the lowest one): 0.716 eV/atom
# E_form (uncorrected): 98.7 kJ per mole of atoms
# N(E_F): 25.7 states/eV per cell
# calculated volume: 69.7 Å³/f.u.

---

Record 10
# CsTl2Br4 PBE-GGA optimized geometry
data_CsTl2Br4
_space_group_name_H-M_alt 'I 4/m m m'
_space_group_IT_number 139
_space_group_name_Hall '-I 4 2'
_cell_length_a 6.743
_cell_length_b 6.743
_cell_length_c 15.744
_cell_angle_alpha 90.00
_cell_angle_beta 90.00
_cell_angle_gamma 90.00
loop_
_atom_site_label
_atom_site_fract_x
_atom_site_fract_y
_atom_site_fract_z
Cs1 0.000 0.000 0.000
Tl1 0.000 0.000 0.401
Br1 0.000 0.000 0.230
Br2 0.000 0.500 0.000
# calculated density: 4.0 g/cm3
# polymorph energy (0 for the lowest one): 0.228 eV/atom
# E_form (uncorrected): -73.7 kJ per mole of atoms
# N(E_F): 10.7 states/eV per cell
# calculated volume: 357.9 Å³/f.u.

---

Record 11
# CaPr2Zn2Ge2 PBE-GGA optimized geometry
data_CaPr2Zn2Ge2
_space_group_name_H-M_alt 'R -3 m'
_space_group_IT_number 166
_space_group_name_Hall '-R 3 2"'
_cell_length_a 4.2364
_cell_length_b 4.2364
_cell_length_c 34.8612
_cell_angle_alpha 90.00
_cell_angle_beta 90.00
_cell_angle_gamma 120.00
loop_
_atom_site_label
_atom_site_fract_x
_atom_site_fract_y
_atom_site_fract_z
Ca1 0.0000 0.0000 0.0000
Pr1 0.0000 0.0000 0.1214
Zn1 0.0000 0.0000 0.3981
Ge1 0.0000 0.0000 0.2732
# calculated density: 5.5 g/cm3
# N(E_F): 12.4 states/eV per cell
# ΔH_f (0 K): -0.426 eV per atom
# calculated volume: 180.6 Å³/f.u.

---

Record 12
# BaAcMnS4 PBE-GGA optimized geometry
data_BaAcMnS4
_space_group_name_H-M_alt 'C m c m'
_space_group_IT_number 63
_space_group_name_Hall '-C 2c 2'
_cell_length_a 6.635
_cell_length_b 15.489
_cell_length_c 6.655
_cell_angle_alpha 90.00
_cell_angle_beta 90.00
_cell_angle_gamma 90.00
loop_
_atom_site_label
_atom_site_fract_x
_atom_site_fract_y
_atom_site_fract_z
Ba1 0.000 0.107 0.250
Ac1 0.000 0.383 0.250
Mn1 0.000 0.247 0.750
S1 0.000 0.091 0.750
S2 0.000 0.423 0.750
S3 0.250 0.250 0.000
# calculated density: 5.3 g/cm3
# E_form (uncorrected): -153.0 kJ per mole of atoms
# N(E_F): 3.7 states/eV per cell
# calculated volume: 171.0 Å³/f.u.

---

Record 13
# Ge2Te2Cl PBE-GGA optimized geometry
data_Ge2Te2Cl
_space_group_name_H-M_alt 'P 1 21/m 1'
_space_group_IT_number 11
_space_group_name_Hall '-P 2yb'
_cell_length_a 5.777
_cell_length_b 3.971
_cell_length_c 12.497
_cell_angle_alpha 90.00
_cell_angle_beta 90.08
_cell_angle_gamma 90.00
loop_
_atom_site_label
_atom_site_fract_x
_atom_site_fract_y
_atom_site_fract_z
Ge1 0.250 0.250 0.112
Ge2 0.250 0.250 0.729
Te1 0.250 0.750 0.913
Te2 0.251 0.750 0.271
Cl1 0.250 0.750 0.596
# calculated density: 5.0 g/cm3
# polymorph energy (0 for the lowest one): 0.000 eV/atom
# E_form (uncorrected): -21.2 kJ per mole of atoms
# N(E_F): 6.0 states/eV per cell
# calculated volume: 143.4 Å³/f.u.

---

Record 14
# NdThIrSe PBE-GGA optimized geometry
data_NdThIrSe
_space_group_name_H-M_alt 'R 3 m'
_space_group_IT_number 160
_space_group_name_Hall 'R 3 -2"'
_cell_length_a 4.1160
_cell_length_b 4.1160
_cell_length_c 22.4008
_cell_angle_alpha 90.00
_cell_angle_beta 90.00
_cell_angle_gamma 120.00
loop_
_atom_site_label
_atom_site_fract_x
_atom_site_fract_y
_atom_site_fract_z
Nd1 0.0000 0.0000 0.0000
Th1 0.0000 0.0000 0.1889
Ir1 0.0000 0.0000 0.5894
Se1 0.0000 0.0000 0.7619
# calculated density: 9.8 g/cm3
# E_form (uncorrected): -120.8 kJ per mole of atoms
# N(E_F): 3.5 states/eV per cell
# calculated volume: 109.6 Å³/f.u.

---

Record 15
# SmTlCdCu PBE-GGA optimized geometry
data_SmTlCdCu
_space_group_name_H-M_alt 'F -4 3 m'
_space_group_IT_number 216
_space_group_name_Hall 'F -4 2 3'
_cell_length_a 7.133
_cell_length_b 7.133
_cell_length_c 7.133
_cell_angle_alpha 90.00
_cell_angle_beta 90.00
_cell_angle_gamma 90.00
loop_
_atom_site_label
_atom_site_fract_x
_atom_site_fract_y
_atom_site_fract_z
Sm1 0.000 0.000 0.000
Tl1 0.250 0.250 0.250
Cd1 0.000 0.000 0.500
Cu1 0.250 0.250 0.750
# calculated density: 9.7 g/cm3
# N(E_F): 9.0 states/eV per cell
# ΔH_f (0 K): -0.145 eV per atom
# calculated volume: 90.7 Å³/f.u.

---

Record 16
# SrPuTh2As4 PBE-GGA optimized geometry
data_SrPuTh2As4
_space_group_name_H-M_alt 'P 1 2/m 1'
_space_group_IT_number 10
_space_group_name_Hall '-P 2y'
_cell_length_a 7.423
_cell_length_b 4.291
_cell_length_c 7.448
_cell_angle_alpha 90.00
_cell_angle_beta 109.50
_cell_angle_gamma 90.00
loop_
_atom_site_label
_atom_site_fract_x
_atom_site_fract_y
_atom_site_fract_z
Sr1 0.000 0.000 0.000
Pu1 0.000 0.500 0.500
Th1 0.500 0.000 0.500
Th2 0.500 0.500 0.000
As1 0.253 0.000 0.744
As2 0.262 0.500 0.260
# calculated density: 8.1 g/cm3
# N(E_F): 15.8 states/eV per cell
# ΔH_f (0 K): -1.270 eV per atom
# calculated volume: 223.6 Å³/f.u.

---

Record 17
# SrLu2Al PBE-GGA optimized geometry
data_SrLu2Al
_space_group_name_H-M_alt 'P 4/m m m'
_space_group_IT_number 123
_space_group_name_Hall '-P 4 2'
_cell_length_a 3.575
_cell_length_b 3.575
_cell_length_c 9.491
_cell_angle_alpha 90.00
_cell_angle_beta 90.00
_cell_angle_gamma 90.00
loop_
_atom_site_label
_atom_site_fract_x
_atom_site_fract_y
_atom_site_fract_z
Sr1 0.000 0.000 0.000
Lu1 0.500 0.500 0.315
Al1 0.000 0.000 0.500
# calculated density: 6.4 g/cm3
# polymorph energy (0 for the lowest one): 0.000 eV/atom
# N(E_F): 2.4 states/eV per cell
# ΔH_f (0 K): -0.084 eV per atom
# calculated volume: 121.3 Å³/f.u.

---

Record 18
# Cs2Rb4Au2O PBE-GGA optimized geometry
data_Cs2Rb4Au2O
_space_group_name_H-M_alt 'I 4/m m m'
_space_group_IT_number 139
_space_group_name_Hall '-I 4 2'
_cell_length_a 8.187
_cell_length_b 8.187
_cell_length_c 11.984
_cell_angle_alpha 90.00
_cell_angle_beta 90.00
_cell_angle_gamma 90.00
loop_
_atom_site_label
_atom_site_fract_x
_atom_site_fract_y
_atom_site_fract_z
Cs1 0.000 0.000 0.235
Rb1 0.235 0.235 0.000
Au1 0.000 0.500 0.250
O1 0.000 0.000 0.000
# calculated density: 4.2 g/cm3
# E_form (uncorrected): -42.1 kJ per mole of atoms
# N(E_F): 10.7 states/eV per cell
# calculated volume: 401.6 Å³/f.u.

---

Record 19
# BaMnRh PBE-GGA optimized geometry
data_BaMnRh
_space_group_name_H-M_alt 'F -4 3 m'
_space_group_IT_number 216
_space_group_name_Hall 'F -4 2 3'
_cell_length_a 6.708
_cell_length_b 6.708
_cell_length_c 6.708
_cell_angle_alpha 90.00
_cell_angle_beta 90.00
_cell_angle_gamma 90.00
loop_
_atom_site_label
_atom_site_fract_x
_atom_site_fract_y
_atom_site_fract_z
Ba1 0.000 0.000 0.000
Mn1 0.000 0.000 0.500
Rh1 0.250 0.250 0.250
# calculated density: 6.5 g/cm3
# N(E_F): 14.1 states/eV per cell
# ΔH_f (0 K): 1.118 eV per atom
# calculated volume: 75.4 Å³/f.u.

---

The following size of the total moment values (in μB/cell) correspond, in order, to the records above: 1.72; 0.00; 0.00; 0.00; 0.00; 0.00; 0.00; 3.13; 5.38; 0.00; 2.97; 15.78; 0.00; 0.00; 0.00; 5.60; 0.00; 0.00; 0.04.
The following DFT total energy values (in eV/atom) correspond, in order, to the records above: -5.16; -4.29; -8.06; -8.48; -4.28; -3.41; -3.85; -4.02; -3.94; -2.52; -3.76; -6.12; -3.69; -7.39; -3.17; -7.45; -3.70; -2.34; -5.03.